Entry 1:
## Pr4Sm3In (PBE)

Data for Pr4Sm3In after structural relaxation.

Lattice parameters (Å, degrees): 7.1423 7.2402 10.1904 90.00 90.00 90.00
With the nearest neighbours (Å) after each atom.
Sites, in units of the cell vectors:
Pr1 0.9990 0.8108 0.0000  2 In 3.57-3.58, 6 Sm 3.62-3.64, 4 Pr 3.62
Pr2 0.5006 0.3104 0.0000  6 Sm 3.56-3.58, 4 Pr 3.58, 2 In 3.62
Pr3 0.7441 0.0606 0.7495  6 Sm 3.45-3.69, 2 In 3.57-3.58, 4 Pr 3.58-3.62
Pr4 0.2559 0.5606 0.7505  6 Sm 3.45-3.69, 2 In 3.57-3.58, 4 Pr 3.58-3.62
Pr5 0.4994 0.8104 0.5000  6 Sm 3.56-3.58, 4 Pr 3.58, 2 In 3.62
Pr6 0.0010 0.3108 0.5000  2 In 3.57-3.58, 6 Sm 3.62-3.64, 4 Pr 3.62
Pr7 0.2559 0.5606 0.2495  6 Sm 3.45-3.69, 2 In 3.57-3.58, 4 Pr 3.58-3.62
Pr8 0.7441 0.0606 0.2505  6 Sm 3.45-3.69, 2 In 3.57-3.58, 4 Pr 3.58-3.62
Sm1 0.9999 0.3106 0.0000  8 Pr 3.57-3.62, 4 Sm 3.64
Sm2 0.2606 0.0606 0.7502  8 Pr 3.45-3.69, 2 In 3.56-3.57, 2 Sm 3.64
Sm3 0.7394 0.5606 0.7498  8 Pr 3.45-3.69, 2 In 3.56-3.57, 2 Sm 3.64
Sm4 0.0001 0.8106 0.5000  8 Pr 3.57-3.62, 4 Sm 3.64
Sm5 0.7394 0.5606 0.2502  8 Pr 3.45-3.69, 2 In 3.56-3.57, 2 Sm 3.64
Sm6 0.2606 0.0606 0.2498  8 Pr 3.45-3.69, 2 In 3.56-3.57, 2 Sm 3.64
In1 0.4997 0.8107 0.0000  4 Sm 3.56-3.57, 8 Pr 3.57-3.62
In2 0.5003 0.3107 0.5000  4 Sm 3.56-3.57, 8 Pr 3.57-3.62

Values from the calculation:
- density (Mg/m³) = 7.1
- VASP energy (eV/cell) = -73.4
- relative energy among the computed polymorphs (meV per atom) = 13

=====

Entry 2:
## Pr2SmIn3 (PBE)

Data for Pr2SmIn3 after structural relaxation.

Lattice parameters (Å, degrees): 5.4868 8.6764 7.7596 89.99 89.98 71.57
With the nearest neighbours (Å) after each atom.
Sites, in units of the cell vectors:
Pr1 0.0000 0.0000 0.0000  8 In 3.33-3.36
Pr2 0.0000 0.0000 0.5000  8 In 3.38-3.40
Pr3 0.3347 0.3306 0.5000  8 In 3.37-3.38
Pr4 0.6653 0.6694 0.5000  8 In 3.37-3.38
Sm1 0.3330 0.3339 0.0000  8 In 3.31-3.34
Sm2 0.6670 0.6661 0.0000  8 In 3.31-3.34
In1 0.8320 0.3364 0.7550  3 Sm 3.31-3.34, 5 Pr 3.36-3.40
In2 0.4991 0.0000 0.2446  6 Pr 3.33-3.39, 2 Sm 3.34
In3 0.1680 0.6636 0.2450  3 Sm 3.31-3.34, 5 Pr 3.36-3.40
In4 0.8316 0.3364 0.2450  3 Sm 3.31-3.34, 5 Pr 3.36-3.40
In5 0.1684 0.6636 0.7550  3 Sm 3.31-3.34, 5 Pr 3.36-3.40
In6 0.5009 0.0000 0.7554  6 Pr 3.33-3.39, 2 Sm 3.34

Values from the calculation:
- density (Mg/m³) = 7.4
- VASP energy (eV/cell) = -50.9
- relative energy among the computed polymorphs (meV per atom) = 0

=====

Calculated formation energy readings, ordered: -85; -495 meV per atom